No. 1
PdSe2BrCl: optimized geometry, GGA-PBE.

The structure belongs to space group P4/mmm (No. 123); the cell edges are 5.008, 5.008 and 5.141 Å and the angles 90.00°, 90.00° and 90.00°. The distinct sites, in fractional coordinates, are Pd at (0.000, 0.000, 0.000), Se at (0.000, 0.500, 0.500), Br at (0.500, 0.500, 0.000) and Cl at (0.500, 0.500, 0.500).

The electronic total energy comes out at -10.46 eV/cell. The value obtained for the magnetic moment is 1.70 Bohr magnetons per cell. For the formation energy without anion corrections, the calculation gives 1.043 eV/atom. Its density of states at the Fermi level is 7.63 states/eV/cell.



No. 2
CaSmY2: optimized geometry, GGA-PBE.

The structure belongs to space group R-3m (No. 166, hexagonal axes); the cell edges are 3.6385, 3.6385 and 36.3265 Å and the angles 90.00°, 90.00° and 120.00°. The distinct sites, in fractional coordinates, are Ca at (0.0000, 0.0000, 0.0000), Sm at (0.0000, 0.0000, 0.5000) and Y at (0.0000, 0.0000, 0.2459).

The electronic total energy comes out at -58.22 eV/cell. The value obtained for the magnetic moment is 0.00 Bohr magnetons per cell. For the formation enthalpy at 0 K, the calculation gives 0.061 eV/atom. Its density of states at the Fermi level is 20.39 states/eV/cell.



No. 3
Cd2IrRh: optimized geometry, GGA-PBE.

The structure belongs to space group Cm (No. 8); the cell edges are 10.486, 2.887 and 4.950 Å and the angles 90.00°, 113.60° and 90.00°. The distinct sites, in fractional coordinates, are Cd at (0.000, 0.000, 0.000), Cd at (0.220, 0.000, 0.601), Ir at (0.255, 0.500, 0.119) and Rh at (0.464, 0.000, 0.482).

The electronic total energy comes out at -35.78 eV/cell. The value obtained for the magnetic moment is 0.00 Bohr magnetons per cell. For the formation enthalpy at 0 K, the calculation gives 0.038 eV/atom. Its density of states at the Fermi level is 3.53 states/eV/cell.



No. 4
AgSnOF2: optimized geometry, GGA-PBE.

The structure belongs to space group P4/mmm (No. 123); the cell edges are 4.236, 4.236 and 4.169 Å and the angles 90.00°, 90.00° and 90.00°. The distinct sites, in fractional coordinates, are Ag at (0.000, 0.000, 0.000), Sn at (0.500, 0.500, 0.500), O at (0.000, 0.000, 0.500) and F at (0.000, 0.500, 0.000).

The electronic total energy comes out at -19.90 eV/cell. The value obtained for the magnetic moment is 0.00 Bohr magnetons per cell. For the formation energy without anion corrections, the calculation gives -0.868 eV/atom. Its density of states at the Fermi level is 1.27 states/eV/cell.



No. 5
Sn2AuN: optimized geometry, GGA-PBE.

The structure belongs to space group R-3m (No. 166, hexagonal axes); the cell edges are 4.1561, 4.1561 and 20.8191 Å and the angles 90.00°, 90.00° and 120.00°. The distinct sites, in fractional coordinates, are Sn at (0.0000, 0.0000, 0.0934), Au at (0.0000, 0.0000, 0.5000) and N at (0.0000, 0.0000, 0.0000).

The electronic total energy comes out at -53.99 eV/cell. The value obtained for the magnetic moment is 0.00 Bohr magnetons per cell. For the formation energy without anion corrections, the calculation gives 0.403 eV/atom. Its density of states at the Fermi level is 3.15 states/eV/cell.



No. 6
LaFeMo2: optimized geometry, GGA-PBE.

The structure belongs to space group Imm2 (No. 44); the cell edges are 3.310, 5.065 and 8.908 Å and the angles 90.00°, 90.00° and 90.00°. The distinct sites, in fractional coordinates, are La at (0.000, 0.000, 0.000), Fe at (0.000, 0.500, 0.232), Mo at (0.000, 0.000, 0.493) and Mo at (0.000, 0.500, 0.773).

The electronic total energy comes out at -64.91 eV/cell. The value obtained for the magnetic moment is 3.63 Bohr magnetons per cell. For the formation enthalpy at 0 K, the calculation gives 0.650 eV/atom. Its density of states at the Fermi level is 9.15 states/eV/cell.



No. 7
K2AcZrTe4: optimized geometry, GGA-PBE.

The structure belongs to space group P2/m (No. 10); the cell edges are 7.926, 4.497 and 8.718 Å and the angles 90.00°, 106.99° and 90.00°. The distinct sites, in fractional coordinates, are K at (0.000, 0.000, 0.000), K at (0.500, 0.500, 0.000), Ac at (0.000, 0.500, 0.500), Zr at (0.500, 0.000, 0.500), Te at (0.268, 0.000, 0.719) and Te at (0.291, 0.500, 0.295).

The electronic total energy comes out at -36.76 eV/cell. The value obtained for the magnetic moment is 0.66 Bohr magnetons per cell. For the formation energy without anion corrections, the calculation gives -1.168 eV/atom. Its density of states at the Fermi level is 3.91 states/eV/cell.



Which of these has the highest magnetic moment? LaFeMo2



What is the magnetic moment in the sixth record? 3.63 Bohr magnetons per cell